Entry 1:
First-principles (GGA-PBE) data for crystalline TcAsRu2 at its relaxed geometry, as listed in the Alexandria database.

Calculated values
Space group: No. 123
DOS(E_F) in states/eV/cell: 4.9
Energy of formation in eV/atom: 0.3088

Cell lengths 3.5318, 4.0788, 4.0788 Å; angles 90.00, 90.00, 90.00 degrees
Closest atoms and distances in Å follow each position.
Atoms (fractional coordinates):
Ru: 0.0000 0.0000 0.0000  4 As 2.70, 4 Tc 2.70, 4 Ru 2.88
Ru: 0.0000 0.5000 0.5000  4 As 2.70, 4 Tc 2.70, 4 Ru 2.88
As: 0.5000 0.0000 0.5000  8 Ru 2.70, 4 Tc 2.88
Tc: 0.5000 0.5000 0.0000  8 Ru 2.70, 4 As 2.88

Entry 2:
First-principles (GGA-PBE) data for crystalline TcAsRu2 at its relaxed geometry, as listed in the Alexandria database.

Calculated values
Space group: No. 99
DOS(E_F) in states/eV/cell: 2.6
Energy of formation in eV/atom: 0.0468

Cell lengths 2.9149, 2.9149, 6.7216 Å; angles 90.00, 90.00, 90.00 degrees
Closest atoms and distances in Å follow each position.
Atoms (fractional coordinates):
Ru: 0.0000 0.0000 0.9724  4 As 2.52
Ru: 0.5000 0.5000 0.2591  4 Tc 2.67, 8 Ru 2.82-2.91
As: 0.5000 0.5000 0.7569  4 Ru 2.52, 4 Tc 2.64
Tc: 0.0000 0.0000 0.5117  4 As 2.64, 4 Ru 2.67, 4 Tc 2.91

Entry 3:
First-principles (GGA-PBE) data for crystalline Tc2AsRu at its relaxed geometry, as listed in the Alexandria database.

Calculated values
Space group: No. 65
DOS(E_F) in states/eV/cell: 6.3
Energy of formation in eV/atom: 0.4744

Cell lengths 2.8102, 2.8102, 8.5864 Å; angles 90.00, 90.00, 117.51 degrees
Closest atoms and distances in Å follow each position.
Atoms (fractional coordinates):
Ru: 0.5000 0.5000 0.7500  4 Tc 2.64, 6 Ru 2.81-2.92
As: 0.5000 0.5000 0.2500  4 Tc 2.55, 4 As 2.81
Tc: 0.0000 0.0000 0.0061  2 As 2.55, 2 Ru 2.64, 4 Tc 2.81
Tc: 0.0000 0.0000 0.4939  2 As 2.55, 2 Ru 2.64, 4 Tc 2.81

Entry 4:
First-principles (GGA-PBE) data for crystalline ThTcAs2Ru at its relaxed geometry, as listed in the Alexandria database.

Calculated values
Space group: No. 119
DOS(E_F) in states/eV/cell: 1.8
Energy of formation in eV/atom: -0.6700

Cell lengths 4.2936, 4.2936, 5.9022 Å; angles 111.33, 111.33, 90.00 degrees
Closest atoms and distances in Å follow each position.
Atoms (fractional coordinates):
Th: 0.0000 0.0000 0.0000  8 As 3.32, 4 Tc 3.32, 4 Ru 3.32
Tc: 0.7500 0.2500 0.5000  4 As 2.46
As: 0.6319 0.6319 0.2638  2 Tc 2.46, 2 Ru 2.46, 1 As 2.67
As: 0.3681 0.3681 0.7362  2 Tc 2.46, 2 Ru 2.46, 1 As 2.67
Ru: 0.2500 0.7500 0.5000  4 As 2.46

Entry 5:
First-principles (GGA-PBE) data for crystalline TiTcAsRu at its relaxed geometry, as listed in the Alexandria database.

Calculated values
Space group: No. 216
DOS(E_F) in states/eV/cell: 0.2
Energy of formation in eV/atom: -0.4875

Cell lengths 4.3182, 4.3182, 4.3182 Å; angles 60.00, 60.00, 60.00 degrees
Closest atoms and distances in Å follow each position.
Atoms (fractional coordinates):
Ru: 0.5000 0.5000 0.5000  4 As 2.64, 4 Ti 2.64
As: 0.7500 0.7500 0.7500  4 Ru 2.64, 4 Tc 2.64
Tc: 0.0000 0.0000 0.0000  4 Ti 2.64, 4 As 2.64
Ti: 0.2500 0.2500 0.2500  4 Tc 2.64, 4 Ru 2.64

Entry 6:
First-principles (GGA-PBE) data for crystalline UTc2As2Ru at its relaxed geometry, as listed in the Alexandria database.

Calculated values
Space group: No. 26
DOS(E_F) in states/eV/cell: 12.9
Energy of formation in eV/atom: -0.2374

Cell lengths 4.1727, 6.1430, 7.7140 Å; angles 90.00, 90.00, 90.00 degrees
Closest atoms and distances in Å follow each position.
Atoms (fractional coordinates):
U: 0.0000 0.9502 0.4257  5 As 2.81-3.00, 2 Ru 2.85, 2 Tc 2.94-3.11
U: 0.0000 0.4502 0.5743  5 As 2.81-3.00, 2 Ru 2.85, 2 Tc 2.94-3.11
Tc: 0.5000 0.0506 0.0484  5 As 2.60-2.81, 1 Ru 2.84
Tc: 0.0000 0.3680 0.1988  4 As 2.40-2.47
Tc: 0.5000 0.5506 0.9516  5 As 2.60-2.81, 1 Ru 2.84
Tc: 0.0000 0.8680 0.8012  4 As 2.40-2.47
As: 0.0000 0.2503 0.9019  4 Tc 2.40-2.67, 2 Ru 2.69
As: 0.5000 0.2567 0.3421  3 Tc 2.46-2.60, 1 Ru 2.55
As: 0.0000 0.7503 0.0981  4 Tc 2.40-2.67, 2 Ru 2.69
As: 0.5000 0.7567 0.6579  3 Tc 2.46-2.60, 1 Ru 2.55
Ru: 0.5000 0.1698 0.6924  4 As 2.55-2.75, 1 Tc 2.84, 2 U 2.85
Ru: 0.5000 0.6698 0.3076  4 As 2.55-2.75, 1 Tc 2.84, 2 U 2.85

Entry 7:
First-principles (GGA-PBE) data for crystalline TeAs2Ru at its relaxed geometry, as listed in the Alexandria database.

Calculated values
Space group: No. 139
DOS(E_F) in states/eV/cell: 4.3
Formation energy (no corrections) in meV per atom: 308

Cell lengths 4.7025, 4.7025, 4.7026 Å; angles 70.96, 70.96, 110.33 degrees
Closest atoms and distances in Å follow each position.
Atoms (fractional coordinates):
Ru: 0.5000 0.0000 0.5000  2 Te 2.69, 4 As 2.73
As: 0.0000 0.0000 0.0000  2 As 2.69, 2 Ru 2.73, 2 Te 2.73
As: 0.5000 0.5000 0.0000  2 As 2.69, 2 Te 2.73, 2 Ru 2.73
Te: 0.0000 0.5000 0.5000  2 Ru 2.69, 4 As 2.73

Entry 8:
First-principles (GGA-PBE) data for crystalline TeAs2Ru at its relaxed geometry, as listed in the Alexandria database.

Calculated values
Space group: No. 123
DOS(E_F) in states/eV/cell: 2.5
Formation energy (no corrections) in meV per atom: -15

Cell lengths 2.9886, 2.9888, 9.7468 Å; angles 90.00, 90.00, 90.00 degrees
Closest atoms and distances in Å follow each position.
Atoms (fractional coordinates):
Ru: 0.5000 0.5000 0.2500  8 As 2.65
As: 0.0000 0.0000 0.0866  4 Ru 2.65
As: 0.0000 0.0000 0.4134  4 Ru 2.65
Te: 0.5000 0.5000 0.7500  4 Te 2.99

Entry 9:
First-principles (GGA-PBE) data for crystalline TeAs4Ru at its relaxed geometry, as listed in the Alexandria database.

Calculated values
Space group: No. 216
DOS(E_F) in states/eV/cell: 6.6
Formation energy (no corrections) in meV per atom: 839

Cell lengths 5.5753, 5.5753, 5.5753 Å; angles 60.00, 60.00, 60.00 degrees
Closest atoms and distances in Å follow each position.
Atoms (fractional coordinates):
Te: 0.0000 0.0000 0.0000  12 As 3.27, 4 Ru 3.41
As: 0.3769 0.8693 0.3769  6 As 2.74-2.83
As: 0.8693 0.3769 0.3769  6 As 2.74-2.83
As: 0.3769 0.3769 0.8693  6 As 2.74-2.83
As: 0.3769 0.3769 0.3769  6 As 2.74-2.83
Ru: 0.7500 0.7500 0.7500  12 As 3.26, 4 Te 3.41

Entry 10:
First-principles (GGA-PBE) data for crystalline TeAs2Ru at its relaxed geometry, as listed in the Alexandria database.

Calculated values
Space group: No. 10
DOS(E_F) in states/eV/cell: 2.6
Formation energy (no corrections) in meV per atom: 116

Cell lengths 4.4930, 4.2312, 4.3045 Å; angles 76.12, 90.00, 90.00 degrees
Closest atoms and distances in Å follow each position.
Atoms (fractional coordinates):
Ru: 0.5000 0.2500 0.2500  4 As 2.59, 2 Te 2.63
As: 0.0000 0.0523 0.0613  2 Ru 2.59, 3 As 2.60-2.80
As: 0.0000 0.4477 0.4387  2 Ru 2.59, 3 As 2.60-2.80
Te: 0.5000 0.7500 0.7500  2 Ru 2.63

Entry 11:
First-principles (GGA-PBE) data for crystalline TeAsRu at its relaxed geometry, as listed in the Alexandria database.

Calculated values
Space group: No. 4
Formation energy (no corrections) in meV per atom: -347

Cell lengths 6.3673, 6.4060, 6.5009 Å; angles 113.51, 90.00, 90.00 degrees
Closest atoms and distances in Å follow each position.
Atoms (fractional coordinates):
As: 0.1419 0.3502 0.9234  3 Ru 2.45
As: 0.1356 0.8542 0.3680  3 Ru 2.53-2.60, 1 Te 2.72
As: 0.6356 0.1458 0.6320  3 Ru 2.53-2.60, 1 Te 2.72
As: 0.6419 0.6498 0.0766  3 Ru 2.45
Te: 0.8677 0.6611 0.5679  3 Ru 2.59-2.60, 1 As 2.72
Te: 0.8714 0.1524 0.1224  3 Ru 2.67-2.70, 1 As 2.75
Te: 0.3714 0.8476 0.8776  3 Ru 2.67-2.70, 1 As 2.75
Te: 0.3677 0.3389 0.4321  3 Ru 2.59-2.60, 1 As 2.72
Ru: 0.9934 0.2685 0.5512  3 As 2.45-2.60, 3 Te 2.60-2.70
Ru: 0.4934 0.7315 0.4488  3 As 2.45-2.60, 3 Te 2.60-2.70
Ru: 0.4937 0.2813 0.0343  3 As 2.45-2.57, 3 Te 2.59-2.68
Ru: 0.9937 0.7187 0.9657  3 As 2.45-2.57, 3 Te 2.59-2.68

Entry 12:
First-principles (GGA-PBE) data for crystalline TeAs2Ru at its relaxed geometry, as listed in the Alexandria database.

Calculated values
Space group: No. 8
DOS(E_F) in states/eV/cell: 2.4
Formation energy (no corrections) in meV per atom: 33

Cell lengths 4.6135, 4.6135, 5.9966 Å; angles 72.21, 72.21, 46.04 degrees
Closest atoms and distances in Å follow each position.
Atoms (fractional coordinates):
Ru: 0.4647 0.4647 0.3704  5 As 2.49-2.58, 2 Te 2.74
As: 0.0307 0.0307 0.0454  1 As 2.55, 2 Ru 2.58
As: 0.1746 0.1746 0.3574  3 Ru 2.49-2.52, 1 As 2.55
Te: 0.8300 0.8300 0.7268  2 Ru 2.74, 2 As 2.95-3.03

What did the first record say?
First-principles (GGA-PBE) data for crystalline TcAsRu2 at its relaxed geometry, as listed in the Alexandria database.

Calculated values
Space group: No. 123
DOS(E_F) in states/eV/cell: 4.9
Energy of formation in eV/atom: 0.3088

Cell lengths 3.5318, 4.0788, 4.0788 Å; angles 90.00, 90.00, 90.00 degrees
Closest atoms and distances in Å follow each position.
Atoms (fractional coordinates):
Ru: 0.0000 0.0000 0.0000  4 As 2.70, 4 Tc 2.70, 4 Ru 2.88
Ru: 0.0000 0.5000 0.5000  4 As 2.70, 4 Tc 2.70, 4 Ru 2.88
As: 0.5000 0.0000 0.5000  8 Ru 2.70, 4 Tc 2.88
Tc: 0.5000 0.5000 0.0000  8 Ru 2.70, 4 As 2.88